Record 1
This record from the Alexandria database describes Zr2TiPb3O9 after structural relaxation. The functional is GGA-PBEsol.

Cell: 5.7589 5.7589 7.1643 Å, 90.00 90.00 120.00°
Closest atoms and distances in Å follow each position.
Positions (direct):
Zr 0.3333 0.6667 0.3217  6 O 2.01-2.19
Zr 0.0000 0.0000 0.9759  6 O 2.03-2.16
Ti 0.6667 0.3333 0.6470  6 O 1.90-2.07
Pb 0.6667 0.3333 0.0984  3 O 2.42
Pb 0.3333 0.6667 0.7781  3 O 2.47
Pb 0.0000 0.0000 0.4437  3 O 2.47
O 0.4993 0.5007 0.5214  1 Ti 1.90
O 0.1592 0.8408 0.1799  2 Zr 2.01-2.16
O 0.8224 0.1776 0.8386  1 Zr 2.03, 1 Ti 2.07
O 0.4993 0.9986 0.5214  1 Ti 1.90
O 0.1592 0.3184 0.1799  2 Zr 2.01-2.16
O 0.8224 0.6449 0.8386  1 Zr 2.03, 1 Ti 2.07
O 0.0014 0.5007 0.5214  1 Ti 1.90
O 0.6816 0.8408 0.1799  2 Zr 2.01-2.16
O 0.3551 0.1776 0.8386  1 Zr 2.03, 1 Ti 2.07

Calculated values
ΔE to the lowest computed polymorph in meV per atom: 7
Uncorrected formation energy in kJ per mole of atoms: -235
SG: P3m1 (156)

Record 2
This record from the Alexandria database describes BaSrMg2 after structural relaxation. The functional is GGA-PBEsol.

Cell: 5.9491 5.9491 5.9491 Å, 60.00 60.00 60.00°
Closest atoms and distances in Å follow each position.
Positions (direct):
Sr 0.5000 0.5000 0.5000  8 Mg 3.64
Mg 0.7500 0.7500 0.7500  4 Sr 3.64, 4 Ba 3.64
Mg 0.2500 0.2500 0.2500  4 Ba 3.64, 4 Sr 3.64
Ba 0.0000 0.0000 0.0000  8 Mg 3.64

Calculated values
ΔE to the lowest computed polymorph in meV per atom: 0
Energy of formation from the pure elements in eV/atom: -0.066
SG: Fm-3m (225)

Record 3
This record from the Alexandria database describes SnP3O9 after structural relaxation. The functional is GGA-PBEsol.

Cell: 6.8573 6.8573 10.4098 Å, 90.00 90.00 120.00°
Closest atoms and distances in Å follow each position.
Positions (direct):
Sn 0.0000 0.0000 0.5000  6 O 2.45
Sn 0.0000 0.0000 0.0000  6 O 2.03
P 0.2725 0.3949 0.2234  4 O 1.48-1.61
P 0.1224 0.3949 0.7766  4 O 1.48-1.61
P 0.2725 0.8776 0.7766  4 O 1.48-1.61
P 0.1224 0.7275 0.2234  4 O 1.48-1.61
P 0.6051 0.8776 0.2234  4 O 1.48-1.61
P 0.6051 0.7275 0.7766  4 O 1.48-1.61
O 0.1011 0.6144 0.8012  2 P 1.60-1.61
O 0.1011 0.4867 0.1988  2 P 1.60-1.61
O 0.5133 0.6144 0.1988  2 P 1.60-1.61
O 0.3856 0.4867 0.8012  2 P 1.60-1.61
O 0.2527 0.3032 0.3543  1 P 1.48
O 0.2465 0.2435 0.1102  1 P 1.52
O 0.5133 0.8989 0.8012  2 P 1.60-1.61
O 0.2527 0.9496 0.6457  1 P 1.48
O 0.2465 0.0030 0.8898  1 P 1.52
O 0.3856 0.8989 0.1988  2 P 1.60-1.61
O 0.0504 0.3032 0.6457  1 P 1.48
O 0.9970 0.2435 0.8898  1 P 1.52
O 0.7565 0.0030 0.1102  1 P 1.52
O 0.6968 0.9496 0.3543  1 P 1.48
O 0.9970 0.7535 0.1102  1 P 1.52
O 0.0504 0.7473 0.3543  1 P 1.48
O 0.7565 0.7535 0.8898  1 P 1.52
O 0.6968 0.7473 0.6457  1 P 1.48

Calculated values
ΔE to the lowest computed polymorph in meV per atom: 0
Uncorrected formation energy in kJ per mole of atoms: -194
SG: P312 (149)

Record 4
This record from the Alexandria database describes Ta2CuRu after structural relaxation. The functional is GGA-PBEsol.

Cell: 4.3930 4.3930 4.3930 Å, 60.00 60.00 60.00°
Closest atoms and distances in Å follow each position.
Positions (direct):
Cu 0.5000 0.5000 0.5000  4 Ta 2.69, 4 Ru 2.69
Ru 0.2500 0.2500 0.2500  4 Ta 2.69, 4 Cu 2.69
Ta 0.0000 0.0000 0.0000  4 Ru 2.69, 4 Ta 2.69
Ta 0.7500 0.7500 0.7500  4 Ta 2.69, 4 Cu 2.69

Calculated values
Energy of formation from the pure elements in eV/atom: 0.116
SG: F-43m (216)

| no. | magnetic moment (μB/f.u.) | total DFT energy (no corrections) (eV/atom) |
| --- | --- | --- |
| 1 | 0.00 | -8.151 |
| 2 | 0.00 | -1.922 |
| 3 | 0.00 | -7.304 |
| 4 | 0.00 | -9.786 |